Below is crystalline Sr2Mg at its relaxed geometry, with properties calculated at the PBE level.

Calculated values
The crystal system is trigonal. As for the density of states at the Fermi level: 6.2 states/eV/cell. The theoretical density is 2464 kg/m3. The magnetization is 0.00 Bohr magnetons per cell. The value obtained for the total energy is -0.057 Ha/atom. For the formation energy, the calculation gives 0.098 eV/atom.

a b c (Å): 4.1337 4.1337 18.1725
angles (deg): 90.00 90.00 120.00
Fractional positions:
Sr1 0.3333 0.6667 0.2914
Sr2 0.3333 0.6667 0.9034
Sr3 0.6667 0.3333 0.0966
Sr4 0.6667 0.3333 0.7086
Mg1 0.3333 0.6667 0.5571
Mg2 0.6667 0.3333 0.4429